1.
First-principles (PBE) data for Pm2Dy7Er3 after structural relaxation, as listed in Alexandria.

- DFT formation energy (kJ/mol of formula units) = 101
- total energy (eV per atom) = -4.53
- offset from the most stable computed form (meV per atom) = 12
- size of the total moment (μB/cell) = 0.00

a = 5.762 Å, b = 3.577 Å, c = 18.660 Å
α = 90.00°, β = 93.68°, γ = 90.00°
Space group P2/m (No. 10)
One atom of each set of equivalent atoms:
Pm1 0.206 0.000 0.294
Dy1 0.179 0.500 0.142
Dy2 0.242 0.000 0.463
Dy3 0.318 0.000 0.824
Dy4 0.500 0.500 0.000
Er1 0.000 0.000 0.000
Er2 0.280 0.500 0.630

---

2.
First-principles (PBE) data for La4Pt2Cl3 after structural relaxation, as listed in Alexandria.

- total energy (eV per atom) = -5.77
- uncorrected formation energy (eV per atom) = -1.623
- size of the total moment (μB/cell) = 0.00

a = 7.327 Å, b = 4.228 Å, c = 17.865 Å
α = 90.00°, β = 90.13°, γ = 90.00°
Space group C2/m (No. 12)
One atom of each set of equivalent atoms:
La1 0.002 0.000 0.309
La2 0.166 0.500 0.877
Pt1 0.168 0.500 0.212
Cl1 0.000 0.000 0.000
Cl2 0.164 0.500 0.595

---

3.
First-principles (PBE) data for Sr2CrFe after structural relaxation, as listed in Alexandria.

- DFT formation energy (kJ/mol of formula units) = 408
- total energy (eV per atom) = -4.31
- offset from the most stable computed form (meV per atom) = 502
- size of the total moment (μB/cell) = 7.66

a = 3.8307 Å, b = 3.8307 Å, c = 29.8227 Å
α = 90.00°, β = 90.00°, γ = 120.00°
Space group R-3m (No. 166, hexagonal axes)
One atom of each set of equivalent atoms:
Sr1 0.0000 0.0000 0.2416
Cr1 0.0000 0.0000 0.0000
Fe1 0.0000 0.0000 0.5000

---

4.
First-principles (PBE) data for LiTa2Ru after structural relaxation, as listed in Alexandria.

- DFT formation energy (kJ/mol of formula units) = 82
- total energy (eV per atom) = -8.51
- size of the total moment (μB/cell) = 0.00

a = 2.8416 Å, b = 2.8416 Å, c = 29.1424 Å
α = 90.00°, β = 90.00°, γ = 120.00°
Space group R-3m (No. 166, hexagonal axes)
One atom of each set of equivalent atoms:
Li1 0.0000 0.0000 0.0000
Ta1 0.0000 0.0000 0.2443
Ru1 0.0000 0.0000 0.5000